# 1
PmSmAlOs, relaxed, DFT GGA-PBE; symmetry = No. 216; energy = -24.93 eV per formula unit; E_form = -0.1209 eV/atom; magnetization = 0.00 μB per formula unit; volume = 22.993 A^3/atom
1.0
7.1653 0.0000 0.0000
0.0000 7.1653 0.0000
0.0000 0.0000 7.1653
Pm Sm Al Os
4 4 4 4
direct
0.0000 0.0000 0.0000 Pm
0.0000 0.5000 0.5000 Pm
0.5000 0.0000 0.5000 Pm
0.5000 0.5000 0.0000 Pm
0.0000 0.0000 0.5000 Sm
0.0000 0.5000 0.0000 Sm
0.5000 0.0000 0.0000 Sm
0.5000 0.5000 0.5000 Sm
0.2500 0.2500 0.7500 Al
0.2500 0.7500 0.2500 Al
0.7500 0.2500 0.2500 Al
0.7500 0.7500 0.7500 Al
0.2500 0.2500 0.2500 Os
0.2500 0.7500 0.7500 Os
0.7500 0.2500 0.7500 Os
0.7500 0.7500 0.2500 Os

---

# 2
Pm5ErTm4, relaxed, DFT GGA-PBE; symmetry = No. 12; energy = -45.83 eV per formula unit; E_form = 0.0370 eV/atom; offset from the most stable computed form = 1.7 kJ/mol of atoms; magnetization = 0.00 μB per formula unit; volume = 32.457 A^3/atom
1.0
8.4797 -1.7706 0.0000
8.4797 1.7706 0.0000
-3.6618 0.0000 10.8086
Pm Er Tm
5 1 4
direct
0.0000 0.0000 0.0000 Pm
0.2887 0.2887 0.8831 Pm
0.3121 0.3121 0.4250 Pm
0.6879 0.6879 0.5750 Pm
0.7113 0.7113 0.1169 Pm
0.0000 0.0000 0.5000 Er
0.1040 0.1040 0.2965 Tm
0.4179 0.4179 0.2104 Tm
0.5821 0.5821 0.7896 Tm
0.8960 0.8960 0.7035 Tm

---

# 3
CeNdPCl, relaxed, DFT GGA-PBE; symmetry = No. 160; energy = -24.08 eV per formula unit; magnetization = 1.00 μB per formula unit; volume = 25.564 A^3/atom
1.0
4.0111 0.0000 0.0000
-2.0056 3.4737 0.0000
0.0000 0.0000 22.0155
Ce Nd P Cl
3 3 3 3
direct
0.0000 0.0000 0.0000 Ce
0.3333 0.6667 0.6667 Ce
0.6667 0.3333 0.3333 Ce
0.0000 0.0000 0.1892 Nd
0.3333 0.6667 0.8559 Nd
0.6667 0.3333 0.5225 Nd
0.0000 0.0000 0.5957 P
0.3333 0.6667 0.2624 P
0.6667 0.3333 0.9290 P
0.0000 0.0000 0.4266 Cl
0.3333 0.6667 0.0932 Cl
0.6667 0.3333 0.7599 Cl

---

# 4
Ta2CrPt, relaxed, DFT GGA-PBE; symmetry = No. 65; energy = -39.91 eV per formula unit; E_form = -0.1354 eV/atom; magnetization = 1.94 μB per formula unit; volume = 16.206 A^3/atom
1.0
5.7737 0.0000 0.0000
0.0000 7.8636 0.0000
0.0000 0.0000 2.8555
Ta Cr Pt
4 2 2
direct
0.2500 0.2500 0.0000 Ta
0.2500 0.7500 0.0000 Ta
0.7500 0.2500 0.0000 Ta
0.7500 0.7500 0.0000 Ta
0.0000 0.0000 0.5000 Cr
0.5000 0.5000 0.5000 Cr
0.0000 0.5000 0.5000 Pt
0.5000 0.0000 0.5000 Pt

---

# 5
TbNdSm2, relaxed, DFT GGA-PBE; symmetry = No. 160; energy = -18.78 eV per formula unit; E_form = 0.0153 eV/atom; offset from the most stable computed form = 0.1 kJ/mol of atoms; magnetization = 0.00 μB per formula unit; volume = 33.761 A^3/atom
1.0
3.6390 0.0000 0.0000
-1.8195 3.1515 0.0000
0.0000 0.0000 35.3266
Tb Nd Sm
3 3 6
direct
0.0000 0.0000 0.0000 Tb
0.3333 0.6667 0.6667 Tb
0.6667 0.3333 0.3333 Tb
0.0000 0.0000 0.1668 Nd
0.3333 0.6667 0.8334 Nd
0.6667 0.3333 0.5001 Nd
0.0000 0.0000 0.4155 Sm
0.0000 0.0000 0.5848 Sm
0.3333 0.6667 0.0822 Sm
0.3333 0.6667 0.2515 Sm
0.6667 0.3333 0.7489 Sm
0.6667 0.3333 0.9182 Sm

---

# 6
YMn2Rh, relaxed, DFT GGA-PBE; symmetry = No. 225; energy = -31.84 eV per formula unit; E_form = 0.0796 eV/atom; magnetization = 7.40 μB per formula unit; volume = 17.165 A^3/atom
1.0
6.5001 0.0000 0.0000
0.0000 6.5001 0.0000
0.0000 0.0000 6.5001
Y Mn Rh
4 8 4
direct
0.0000 0.0000 0.0000 Y
0.0000 0.5000 0.5000 Y
0.5000 0.0000 0.5000 Y
0.5000 0.5000 0.0000 Y
0.2500 0.2500 0.2500 Mn
0.2500 0.2500 0.7500 Mn
0.2500 0.7500 0.2500 Mn
0.2500 0.7500 0.7500 Mn
0.7500 0.2500 0.2500 Mn
0.7500 0.2500 0.7500 Mn
0.7500 0.7500 0.2500 Mn
0.7500 0.7500 0.7500 Mn
0.0000 0.0000 0.5000 Rh
0.0000 0.5000 0.0000 Rh
0.5000 0.0000 0.0000 Rh
0.5000 0.5000 0.5000 Rh

---

# 7
K2TaSe, relaxed, DFT GGA-PBE; symmetry = No. 123; energy = -15.34 eV per formula unit; magnetization = 0.68 μB per formula unit; volume = 26.341 A^3/atom
1.0
3.0485 0.0000 0.0000
0.0000 3.0485 0.0000
0.0000 0.0000 11.3378
K Ta Se
2 1 1
direct
0.0000 0.0000 0.2178 K
0.0000 0.0000 0.7822 K
0.5000 0.5000 0.5000 Ta
0.5000 0.5000 0.0000 Se

---

# 8
MnPd8Pt6, relaxed, DFT GGA-PBE; symmetry = No. 148; energy = -85.06 eV per formula unit; E_form = 0.1266 eV/atom; offset from the most stable computed form = 0.0 kJ/mol of atoms; magnetization = 1.90 μB per formula unit; volume = 15.867 A^3/atom
1.0
3.8596 2.2284 4.6122
-3.8596 2.2284 4.6122
0.0000 -4.4567 4.6122
Mn Pd Pt
1 8 6
direct
0.0000 0.0000 0.0000 Mn
0.0471 0.8597 0.3669 Pd
0.1403 0.6331 0.9529 Pd
0.2427 0.2427 0.2427 Pd
0.3669 0.0471 0.8597 Pd
0.6331 0.9529 0.1403 Pd
0.7573 0.7573 0.7573 Pd
0.8597 0.3669 0.0471 Pd
0.9529 0.1403 0.6331 Pd
0.1864 0.4458 0.6068 Pt
0.3932 0.8136 0.5542 Pt
0.4458 0.6068 0.1864 Pt
0.5542 0.3932 0.8136 Pt
0.6068 0.1864 0.4458 Pt
0.8136 0.5542 0.3932 Pt

---

# 9
TbPm4Ir3, relaxed, DFT GGA-PBE; symmetry = No. 140; energy = -55.12 eV per formula unit; E_form = -0.6129 eV/atom; magnetization = 0.00 μB per formula unit; volume = 24.575 A^3/atom
1.0
-5.6391 5.6391 3.0913
5.6391 -5.6391 3.0913
5.6391 5.6391 -3.0913
Tb Pm Ir
2 8 6
direct
0.2500 0.7500 0.5000 Tb
0.7500 0.2500 0.5000 Tb
0.0832 0.7894 0.8727 Pm
0.2106 0.0832 0.2938 Pm
0.2894 0.5832 0.8727 Pm
0.4168 0.2894 0.7062 Pm
0.5832 0.7106 0.2938 Pm
0.7106 0.4168 0.1273 Pm
0.7894 0.9168 0.7062 Pm
0.9168 0.2106 0.1273 Pm
0.1521 0.3479 0.5000 Ir
0.2500 0.2500 0.0000 Ir
0.3479 0.8479 0.1957 Ir
0.6521 0.1521 0.8043 Ir
0.7500 0.7500 0.0000 Ir
0.8479 0.6521 0.5000 Ir

---

# 10
La3Pr2Er4, relaxed, DFT GGA-PBE; symmetry = No. 15; energy = -41.74 eV per formula unit; E_form = 0.0953 eV/atom; offset from the most stable computed form = 6.4 kJ/mol of atoms; magnetization = 0.00 μB per formula unit; volume = 33.874 A^3/atom
1.0
8.3000 -5.9640 0.0000
8.3000 5.9640 0.0000
-0.8480 0.0000 6.1587
La Pr Er
6 4 8
direct
0.1238 0.8762 0.7500 La
0.1983 0.4804 0.9046 La
0.4804 0.1983 0.4046 La
0.5196 0.8017 0.5954 La
0.8017 0.5196 0.0954 La
0.8762 0.1238 0.2500 La
0.0188 0.7502 0.2090 Pr
0.2498 0.9812 0.2910 Pr
0.7502 0.0188 0.7090 Pr
0.9812 0.2498 0.7910 Pr
0.1125 0.3483 0.3584 Er
0.3283 0.5590 0.4590 Er
0.3483 0.1125 0.8584 Er
0.4410 0.6717 0.0410 Er
0.5590 0.3283 0.9590 Er
0.6517 0.8875 0.1416 Er
0.6717 0.4410 0.5410 Er
0.8875 0.6517 0.6416 Er

---

# 11
RePtNO2, relaxed, DFT GGA-PBE; symmetry = No. 123; energy = -30.09 eV per formula unit; magnetization = 3.61 μB per formula unit; volume = 12.695 A^3/atom
1.0
4.0549 0.0000 0.0000
0.0000 4.0549 0.0000
0.0000 0.0000 3.8604
Re Pt N O
1 1 1 2
direct
0.0000 0.0000 0.0000 Re
0.5000 0.5000 0.5000 Pt
0.5000 0.5000 0.0000 N
0.0000 0.5000 0.5000 O
0.5000 0.0000 0.5000 O

---

# 12
TbNd8In6, relaxed, DFT GGA-PBE; symmetry = No. 148; energy = -62.87 eV per formula unit; E_form = -0.2445 eV/atom; magnetization = 0.00 μB per formula unit; volume = 32.794 A^3/atom
1.0
4.6213 2.6681 6.6492
-4.6213 2.6681 6.6492
0.0000 -5.3362 6.6492
Tb Nd In
1 8 6
direct
0.0000 0.0000 0.0000 Tb
0.1153 0.4503 0.7812 Nd
0.2188 0.8847 0.5497 Nd
0.3342 0.3342 0.3342 Nd
0.4503 0.7812 0.1153 Nd
0.5497 0.2188 0.8847 Nd
0.6658 0.6658 0.6658 Nd
0.7812 0.1153 0.4503 Nd
0.8847 0.5497 0.2188 Nd
0.0536 0.7261 0.3825 In
0.2739 0.6175 0.9464 In
0.3825 0.0536 0.7261 In
0.6175 0.9464 0.2739 In
0.7261 0.3825 0.0536 In
0.9464 0.2739 0.6175 In

---

# 13
Na2CoRh2, relaxed, DFT GGA-PBE; symmetry = No. 139; energy = -20.35 eV per formula unit; E_form = 0.8200 eV/atom; offset from the most stable computed form = 41.7 kJ/mol of atoms; magnetization = 3.50 μB per formula unit; volume = 16.386 A^3/atom
1.0
3.3398 0.0000 0.0000
0.0000 3.3398 0.0000
0.0000 0.0000 14.6905
Na Co Rh
4 2 4
direct
0.0000 0.5000 0.2500 Na
0.0000 0.5000 0.7500 Na
0.5000 0.0000 0.2500 Na
0.5000 0.0000 0.7500 Na
0.0000 0.0000 0.0000 Co
0.5000 0.5000 0.5000 Co
0.0000 0.0000 0.4124 Rh
0.0000 0.0000 0.5876 Rh
0.5000 0.5000 0.0876 Rh
0.5000 0.5000 0.9124 Rh

---

# 14
LaCdIr2, relaxed, DFT GGA-PBE; symmetry = No. 123; energy = -23.89 eV per formula unit; E_form = -0.0807 eV/atom; magnetization = 0.00 μB per formula unit; volume = 20.182 A^3/atom
1.0
3.5114 0.0000 0.0000
0.0000 3.5114 0.0000
0.0000 0.0000 6.5476
La Cd Ir
1 1 2
direct
0.0000 0.0000 0.0000 La
0.0000 0.0000 0.5000 Cd
0.5000 0.5000 0.2767 Ir
0.5000 0.5000 0.7233 Ir

---

# 15
LiAl2Ag, relaxed, DFT GGA-PBE; symmetry = No. 166; energy = -12.21 eV per formula unit; E_form = 0.0104 eV/atom; offset from the most stable computed form = 14.3 kJ/mol of atoms; magnetization = 0.00 μB per formula unit; volume = 16.808 A^3/atom
1.0
2.9311 0.0000 0.0000
-1.4655 2.5384 0.0000
0.0000 0.0000 27.1092
Li Al Ag
3 6 3
direct
0.0000 0.0000 0.0000 Li
0.3333 0.6667 0.6667 Li
0.6667 0.3333 0.3333 Li
0.0000 0.0000 0.2505 Al
0.0000 0.0000 0.7495 Al
0.3333 0.6667 0.4161 Al
0.3333 0.6667 0.9172 Al
0.6667 0.3333 0.0828 Al
0.6667 0.3333 0.5839 Al
0.0000 0.0000 0.5000 Ag
0.3333 0.6667 0.1667 Ag
0.6667 0.3333 0.8333 Ag

---

# 16
HoSnPd, relaxed, DFT GGA-PBE; symmetry = No. 107; energy = -15.72 eV per formula unit; E_form = -0.6483 eV/atom; magnetization = 0.00 μB per formula unit; volume = 21.888 A^3/atom
1.0
3.4428 0.0000 0.0000
0.0000 3.4428 0.0000
0.0000 0.0000 11.0799
Ho Sn Pd
2 2 2
direct
0.0000 0.0000 0.0000 Ho
0.5000 0.5000 0.5000 Ho
0.0000 0.0000 0.3009 Sn
0.5000 0.5000 0.8009 Sn
0.0000 0.0000 0.6655 Pd
0.5000 0.5000 0.1655 Pd

---

# 17
Nd6ZnIn5, relaxed, DFT GGA-PBE; symmetry = No. 10; energy = -49.10 eV per formula unit; E_form = -0.4606 eV/atom; magnetization = 0.00 μB per formula unit; volume = 28.590 A^3/atom
1.0
5.4534 0.0000 0.0000
0.0000 7.7020 0.0000
-2.6967 0.0000 8.1683
Nd Zn In
6 1 5
direct
0.0000 0.2426 0.0000 Nd
0.0000 0.7574 0.0000 Nd
0.3370 0.2456 0.6737 Nd
0.3370 0.7544 0.6737 Nd
0.6630 0.2456 0.3263 Nd
0.6630 0.7544 0.3263 Nd
0.5000 0.0000 0.0000 Zn
0.1664 0.0000 0.3333 In
0.1680 0.5000 0.3363 In
0.5000 0.5000 0.0000 In
0.8320 0.5000 0.6637 In
0.8336 0.0000 0.6667 In

---

# 18
RbInHg2Bi, relaxed, DFT GGA-PBE; symmetry = No. 44; energy = -9.14 eV per formula unit; E_form = -0.1901 eV/atom; offset from the most stable computed form = 0.0 kJ/mol of atoms; magnetization = 0.00 μB per formula unit; volume = 34.101 A^3/atom
1.0
4.9872 0.0000 0.0000
0.0000 5.2702 0.0000
0.0000 0.0000 12.9741
Rb In Hg Bi
2 2 4 2
direct
0.0000 0.0000 0.0000 Rb
0.5000 0.5000 0.5000 Rb
0.0000 0.5000 0.7358 In
0.5000 0.0000 0.2358 In
0.0000 0.0000 0.6156 Hg
0.0000 0.5000 0.2453 Hg
0.5000 0.0000 0.7453 Hg
0.5000 0.5000 0.1156 Hg
0.0000 0.0000 0.3824 Bi
0.5000 0.5000 0.8824 Bi

---

# 19
LiTa4TiN8, relaxed, DFT GGA-PBE; symmetry = No. 160; energy = -138.32 eV per formula unit; magnetization = 0.00 μB per formula unit; volume = 12.052 A^3/atom
1.0
3.1117 1.7966 5.0304
-3.1117 1.7966 5.0304
0.0000 -3.5931 5.0304
Li Ta Ti N
1 4 1 8
direct
0.0000 0.0000 0.0000 Li
0.1077 0.6295 0.6295 Ta
0.2482 0.2482 0.2482 Ta
0.6295 0.1077 0.6295 Ta
0.6295 0.6295 0.1077 Ta
0.6307 0.6307 0.6307 Ti
0.3787 0.3787 0.8580 N
0.3787 0.8580 0.3787 N
0.3800 0.3800 0.3800 N
0.4140 0.8604 0.8604 N
0.8580 0.3787 0.3787 N
0.8604 0.4140 0.8604 N
0.8604 0.8604 0.4140 N
0.8632 0.8632 0.8632 N

---

# 20
Pu2SbTe, relaxed, DFT GGA-PBE; symmetry = No. 160; energy = -38.87 eV per formula unit; offset from the most stable computed form = 13.1 kJ/mol of atoms; magnetization = 0.12 μB per formula unit; volume = 31.380 A^3/atom
1.0
4.3018 0.0000 0.0000
-2.1509 3.7255 0.0000
0.0000 0.0000 23.4968
Pu Sb Te
6 3 3
direct
0.0000 0.0000 0.0000 Pu
0.0000 0.0000 0.1731 Pu
0.3333 0.6667 0.6667 Pu
0.3333 0.6667 0.8398 Pu
0.6667 0.3333 0.3333 Pu
0.6667 0.3333 0.5064 Pu
0.0000 0.0000 0.5880 Sb
0.3333 0.6667 0.2546 Sb
0.6667 0.3333 0.9213 Sb
0.0000 0.0000 0.4179 Te
0.3333 0.6667 0.0845 Te
0.6667 0.3333 0.7512 Te